1.
Density functional theory data (PBE-GGA) for crystalline BaCd2Ag4 at its relaxed geometry.

Cell and atoms, written as POSCAR:
```
BaCd2Ag4
1.0
-4.1973 4.1973 3.0775
4.1973 -4.1973 3.0775
4.1973 4.1973 -3.0775
Ba Cd Ag
1 2 4
Direct
0.0000 0.0000 0.0000
0.2500 0.7500 0.5000
0.7500 0.2500 0.5000
0.2726 0.5000 0.7726
0.5000 0.2726 0.7726
0.5000 0.7274 0.2274
0.7274 0.5000 0.2274
```

Summary:
symmetry	I4/mmm
ΔH_f (0 K)	92	meV/atom
size of the total moment	0.000	μB per atom
distance to the lowest polymorph of the same formula	0.2730	eV/atom

***

2.
Density functional theory data (PBE-GGA) for crystalline Hg2Pd8Au at its relaxed geometry.

Cell and atoms, written as POSCAR:
```
Hg2Pd8Au
1.0
-1.9576 4.1750 5.8582
1.9576 -4.1750 5.8582
1.9576 4.1750 -5.8582
Hg Pd Au
2 8 1
Direct
0.1476 0.1476 0.0000
0.8524 0.8524 0.0000
0.0862 0.3330 0.7532
0.2594 0.0000 0.2594
0.3272 0.8272 0.5000
0.4202 0.6670 0.7532
0.5798 0.3330 0.2468
0.6728 0.1728 0.5000
0.7406 0.0000 0.7406
0.9138 0.6670 0.2468
0.5000 0.5000 0.0000
```

Summary:
symmetry	Immm
ΔH_f (0 K)	-40	meV/atom
size of the total moment	0.000	μB per atom
distance to the lowest polymorph of the same formula	0.0538	eV/atom

***

3.
Density functional theory data (PBE-GGA) for crystalline CsCoPb3 at its relaxed geometry.

Cell and atoms, written as POSCAR:
```
CsCoPb3
1.0
5.3774 0.0000 0.0000
0.0000 5.3774 0.0000
0.0000 0.0000 5.3774
Cs Co Pb
1 1 3
Direct
0.0000 0.0000 0.0000
0.5000 0.5000 0.5000
0.0000 0.5000 0.5000
0.5000 0.0000 0.5000
0.5000 0.5000 0.0000
```

Summary:
symmetry	Pm-3m
ΔH_f (0 K)	240	meV/atom
size of the total moment	0.345	μB per atom
distance to the lowest polymorph of the same formula	0.0000	eV/atom